The following is a PBE calculation of a geometry-optimized K2ZrCu structure, from Alexandria.

Calculated values
* formation energy from the elements: 10.95 kcal/mol of atoms
* spin magnetization: 0.0 μB per formula unit
* E_tot: -12.9 eV for the cell shown

a b c (Å): 10.636 10.636 4.440
angles (deg): 78.04 78.04 17.18
Element x y z (fractional)
1 K 0.400 0.400 0.602
2 K 0.100 0.100 0.898
3 Cu 0.750 0.750 0.750
4 Zr 0.250 0.250 0.250